{
  "formula": "Np2SBr2N",
  "functional": "PBE-GGA",
  "state": "optimized geometry",
  "lattice": [[-0.935, -2.040, 3.162], [6.513, -2.850, 0.087], [3.671, 8.594, 6.628]],
  "species": ["Br", "Br", "Br", "Br", "Np", "Np", "Np", "Np", "N", "N", "S", "S"],
  "frac_coords": [[0.000, 0.857, 0.771], [0.500, 0.365, 0.883], [0.500, 0.865, 0.117], [0.000, 0.357, 0.229], [0.000, 0.744, 0.291], [0.500, 0.841, 0.559], [0.000, 0.244, 0.709], [0.500, 0.341, 0.441], [0.500, 0.195, 0.622], [0.500, 0.695, 0.378], [0.000, 0.544, 0.556], [0.000, 0.044, 0.444]],
  "total_energy_ry_per_atom": -0.60355,
  "dos_at_fermi_per_ev_atom": 2.554
}

=====

{
  "formula": "Li5Rh4",
  "functional": "PBE-GGA",
  "state": "optimized geometry",
  "lattice": [[7.376, 0.000, 0.000], [-3.688, 6.388, 0.000], [0.000, 0.000, 5.048]],
  "species": ["Li", "Li", "Li", "Li", "Li", "Li", "Li", "Li", "Li", "Li", "Rh", "Rh", "Rh", "Rh", "Rh", "Rh", "Rh", "Rh"],
  "frac_coords": [[0.000, 0.328, 0.750], [0.667, 0.333, 0.500], [0.333, 0.667, 0.500], [0.667, 0.333, 0.000], [0.328, 0.000, 0.750], [0.000, 0.672, 0.250], [0.333, 0.667, 0.000], [0.672, 0.672, 0.750], [0.328, 0.328, 0.250], [0.672, 0.000, 0.250], [0.000, 0.331, 0.250], [0.331, 0.000, 0.250], [0.000, 0.669, 0.750], [0.000, 0.000, 0.000], [0.000, 0.000, 0.500], [0.669, 0.000, 0.750], [0.669, 0.669, 0.250], [0.331, 0.331, 0.750]],
  "total_energy_ry_per_atom": -0.31522,
  "ef_ev_per_atom": 0.04,
  "e_above_lowest_polymorph_mev_per_atom": 73,
  "dos_at_fermi_per_ev_atom": 0.899
}

=====

{
  "formula": "Nd5SmY3",
  "functional": "PBE-GGA",
  "state": "optimized geometry",
  "lattice": [[-4.791, 4.032, 0.408], [-3.918, -8.990, -5.433], [1.559, 0.681, 11.575]],
  "species": ["Sm", "Sm", "Nd", "Nd", "Nd", "Nd", "Nd", "Nd", "Nd", "Nd", "Nd", "Nd", "Y", "Y", "Y", "Y", "Y", "Y"],
  "frac_coords": [[0.116, 0.000, 0.250], [0.884, 0.000, 0.750], [0.540, 0.720, 0.374], [0.986, 0.359, 0.520], [0.401, 0.000, 0.750], [0.180, 0.720, 0.874], [0.628, 0.641, 0.980], [0.014, 0.641, 0.480], [0.599, 0.000, 0.250], [0.820, 0.280, 0.126], [0.460, 0.280, 0.626], [0.372, 0.359, 0.020], [0.046, 0.646, 0.178], [0.000, 0.000, 0.000], [0.000, 0.000, 0.500], [0.599, 0.646, 0.678], [0.401, 0.354, 0.322], [0.954, 0.354, 0.822]],
  "total_energy_ry_per_atom": -0.37143,
  "ef_ev_per_atom": 0.27,
  "e_above_lowest_polymorph_mev_per_atom": 0,
  "dos_at_fermi_per_ev_atom": 1.441
}

=====

{
  "formula": "ZrAsP2S",
  "functional": "PBE-GGA",
  "state": "optimized geometry",
  "lattice": [[-1.616, -4.250, -0.768], [1.202, -1.244, 4.354], [-4.154, 1.305, 1.520]],
  "species": ["P", "P", "S", "As", "Zr"],
  "frac_coords": [[0.500, 0.000, 0.000], [0.000, 0.000, 0.500], [0.000, 0.500, 0.000], [0.000, 0.000, 0.000], [0.500, 0.500, 0.500]],
  "total_energy_ry_per_atom": -0.38277,
  "e_above_lowest_polymorph_mev_per_atom": 0,
  "dos_at_fermi_per_ev_atom": 0.401
}

=====

{
  "formula": "CaAcCe2As4",
  "functional": "PBE-GGA",
  "state": "optimized geometry",
  "lattice": [[-0.930, -3.510, 2.362], [1.543, -4.378, -5.898], [7.230, -1.844, 0.106]],
  "species": ["Ac", "Ce", "Ce", "As", "As", "As", "As", "Ca"],
  "frac_coords": [[0.000, 0.500, 0.500], [0.500, 0.000, 0.500], [0.000, 0.000, 0.000], [0.500, 0.769, 0.239], [0.000, 0.768, 0.748], [0.500, 0.231, 0.761], [0.000, 0.232, 0.252], [0.500, 0.500, 0.000]],
  "total_energy_ry_per_atom": -0.43620,
  "ef_ev_per_atom": -1.36,
  "dos_at_fermi_per_ev_atom": 0.979
}

=====

{
  "formula": "CeGe4Bi",
  "functional": "PBE-GGA",
  "state": "optimized geometry",
  "lattice": [[5.716, 0.000, 0.000], [2.858, 4.950, 0.000], [2.858, 1.650, 4.667]],
  "species": ["Ge", "Ge", "Ge", "Ge", "Ce", "Bi"],
  "frac_coords": [[0.127, 0.624, 0.624], [0.624, 0.624, 0.127], [0.624, 0.624, 0.624], [0.624, 0.127, 0.624], [0.000, 0.000, 0.000], [0.250, 0.250, 0.250]],
  "total_energy_ry_per_atom": -0.35676,
  "ef_ev_per_atom": -0.14,
  "dos_at_fermi_per_ev_atom": 1.196
}

=====

{
  "formula": "Pm2SeS",
  "functional": "PBE-GGA",
  "state": "optimized geometry",
  "lattice": [[4.108, 0.000, 0.000], [2.054, 3.558, 0.000], [2.054, 1.186, 6.763]],
  "species": ["Se", "Pm", "Pm", "S"],
  "frac_coords": [[0.500, 0.500, 0.500], [0.742, 0.742, 0.774], [0.258, 0.258, 0.226], [0.000, 0.000, 0.000]],
  "total_energy_ry_per_atom": -0.45748,
  "e_above_lowest_polymorph_mev_per_atom": 0,
  "dos_at_fermi_per_ev_atom": 0.320
}

=====

{
  "formula": "ErAs2RhO8",
  "functional": "PBE-GGA",
  "state": "optimized geometry",
  "lattice": [[5.455, 0.000, 0.000], [-2.727, 4.724, 0.000], [0.000, 0.000, 6.522]],
  "species": ["O", "O", "O", "O", "O", "O", "O", "O", "Rh", "As", "As", "Er"],
  "frac_coords": [[0.688, 0.844, 0.782], [0.844, 0.688, 0.218], [0.667, 0.333, 0.541], [0.156, 0.312, 0.782], [0.312, 0.156, 0.218], [0.333, 0.667, 0.459], [0.156, 0.844, 0.782], [0.844, 0.156, 0.218], [0.000, 0.000, 0.000], [0.333, 0.667, 0.716], [0.667, 0.333, 0.284], [0.000, 0.000, 0.500]],
  "total_energy_ry_per_atom": -0.48048
}